[1]
ScZnPd, relaxed, DFT PBE; Fermi-level density of states = 3.9 states/eV/cell; energy of formation from the pure elements = -0.71 eV per atom; mass density = 6.88 g cm⁻³
1.0
-3.8663 1.1577 3.0202
4.1475 -2.6765 1.0221
2.4967 4.4396 1.4944
Sc Zn Pd
2 2 2
Cartesian
-0.8851 1.1399 2.8062
3.6631 1.7808 2.7306
1.2484 2.2198 0.7472
0.0000 0.0000 0.0000
1.5641 -0.0320 2.1955
1.2139 2.9527 3.3413



[2]
TlPt2Cl8, relaxed, DFT PBE; Fermi-level density of states = 3.1 states/eV/cell; energy relative to the elements, uncorrected = -0.297 eV per atom; mass density = 3.96 g cm⁻³
1.0
4.8386 0.7229 0.5485
0.9461 9.2888 0.9084
0.9461 3.3760 8.7011
Tl Pt Cl
1 2 8
Cartesian
0.0000 0.0000 0.0000
4.9759 10.2131 7.7493
1.7549 3.1747 2.4088
3.0180 6.1300 8.8702
3.7128 3.1945 6.6429
2.5288 9.9697 7.5646
4.2019 3.4180 2.5935
3.0180 10.1932 3.5152
3.7128 7.2577 1.2878
5.3883 8.4587 6.4181
1.3425 4.9290 3.7399



[3]
LaTb2InC, relaxed, DFT PBE; Fermi-level density of states = 2.4 states/eV/cell; energy of formation from the pure elements = -0.40 eV per atom; mass density = 7.50 g cm⁻³
1.0
-1.4940 4.5107 -2.0214
0.0055 -2.0441 -4.5655
-4.7883 -1.3231 0.5867
La Tb In C
1 2 1 1
Cartesian
-0.7470 2.2553 -1.0107
-2.3941 -0.6615 0.2933
0.0027 -1.0221 -2.2827
-3.1384 0.5718 -3.0001
0.0000 0.0000 0.0000